## KSc2Mn (PBE)

Data for a relaxed structure of KSc2Mn.

The structure in POSCAR format:
```
KSc2Mn
1.0
10.6900 -0.0074 -0.0044
10.1579 3.3306 -0.0044
10.1579 1.6192 2.9105
K Mn Sc
1 1 2
Cartesian
7.7515 1.2356 0.7255 K
23.2544 3.7068 2.1764 Mn
0.9092 0.1449 0.0851 Sc
14.5938 2.3263 1.3658 Sc
```

Summary:
- energy of formation (eV/atom) = 0.47
- ρ (Mg/m³) = 2.94
- relative energy among the computed polymorphs (meV/atom) = 215
- crystal system = trigonal



## K3ScMn (PBE)

Data for a relaxed structure of K3ScMn.

The structure in POSCAR format:
```
K3ScMn
1.0
6.8047 0.0000 0.0000
0.0000 6.8047 0.0000
0.0000 0.0000 6.8047
Sc K Mn
1 3 1
Cartesian
0.0000 0.0000 0.0000 Sc
0.0000 3.4024 0.0000 K
0.0000 0.0000 3.4024 K
3.4024 0.0000 0.0000 K
3.4024 3.4024 3.4024 Mn
```

Summary:
- energy of formation (eV/atom) = 1.96
- ρ (Mg/m³) = 1.14
- relative energy among the computed polymorphs (meV/atom) = 790
- crystal system = cubic